No. 1
Tl3HgF6 (GGA-PBE, relaxed); final energy = -3.450 eV/atom; space group = No. 225
1.0
-5.9801 0.4961 2.0758
-4.5237 2.2344 -3.8550
-4.4739 -3.9072 -2.2439
F Hg Tl
6 1 3
direct
0.7497 0.2503 0.2503 F
0.2503 0.7497 0.2503 F
0.7497 0.7497 0.2503 F
0.2503 0.2503 0.7497 F
0.7497 0.2503 0.7497 F
0.2503 0.7497 0.7497 F
0.5000 0.5000 0.5000 Hg
0.0000 0.0000 0.0000 Tl
0.2500 0.2500 0.2500 Tl
0.7500 0.7500 0.7500 Tl

No. 2
ZrTlHgF7 (GGA-PBE, relaxed); energy above the most stable polymorph in this dataset = 0.55 kJ/mol of atoms; space group = No. 11; total magnetization = 0.01 μB/cell
1.0
-0.6300 3.6955 5.1436
-6.6740 -4.6401 2.5163
3.7905 -5.0701 0.7041
F Hg Tl Zr
14 2 2 2
direct
0.9934 0.2500 0.0111 F
0.4240 0.7500 0.1600 F
0.4676 0.2500 0.1838 F
0.7842 0.0166 0.2212 F
0.7842 0.4834 0.2212 F
0.1647 0.2500 0.4284 F
0.1804 0.7500 0.4640 F
0.8196 0.2500 0.5360 F
0.8353 0.7500 0.5716 F
0.2158 0.5166 0.7788 F
0.2158 0.9834 0.7788 F
0.5324 0.7500 0.8162 F
0.5760 0.2500 0.8400 F
0.0066 0.7500 0.9889 F
0.8018 0.7500 0.1942 Hg
0.1982 0.2500 0.8058 Hg
0.5000 0.0000 0.5000 Tl
0.5000 0.5000 0.5000 Tl
0.8069 0.2500 0.1975 Zr
0.1931 0.7500 0.8025 Zr